Compound: Pa4FeTe3
Source: Alexandria via LeMat-Bulk
Functional: GGA-PBE
Structure: optimized geometry

POSCAR file:
```
Pa4FeTe3
1.0
4.443 -6.051 0.000
4.443 6.051 0.000
0.000 0.000 4.055
Pa Fe Te
4 1 3
Cartesian
1.768 0.000 2.027
4.443 3.362 0.000
4.443 -3.362 0.000
7.118 0.000 2.027
0.000 0.000 0.000
2.221 3.026 2.027
2.221 -3.026 2.027
4.443 0.000 0.000
```

Output
**Fermi-level density of states**: 14.8 states/eV/f.u.
**ΔE_f (raw)**: -4.1 eV/f.u.
**Electronic total energy**: -7.50 eV/atom